Computed, not measured: a geometry-optimized DyTmBi2 structure at the GGA-PBE level of DFT.

raw total energy = -19.7 eV/cell
energy relative to the elements = -0.72 eV/atom
energy above the most stable polymorph in this dataset = 96 meV/atom

The structure in POSCAR format:
```
DyTmBi2
1.0
2.209 1.276 7.541
-2.209 1.276 7.541
0.000 -2.551 7.541
Dy Tm Bi
1 1 2
Direct
0.000 0.000 0.000 Dy
0.830 0.830 0.830 Tm
0.246 0.246 0.246 Bi
0.418 0.418 0.418 Bi
```